Entry 1:
# TbNd4Sm2Ho2

An optimized crystal structure of TbNd4Sm2Ho2 (PBE-GGA, Alexandria via LeMat-Bulk). Values from VASP.

Properties
The energy relative to the elements is 0.0188 eV per atom. As for the total energy: -0.172 hartree per atom. As for the space group: C2/m, No. 12.

Quantum ESPRESSO input file:
```
&SYSTEM
  ibrav = 0, nat = 9, ntyp = 4
/
ATOMIC_SPECIES
Tb 158.93 Tb.upf
Nd 144.24 Nd.upf
Sm 150.36 Sm.upf
Ho 164.93 Ho.upf
CELL_PARAMETERS angstrom
7.6946 -2.5638 0.0000
7.6946 2.5638 0.0000
-2.5690 0.0000 7.6577
ATOMIC_POSITIONS crystal
Tb 0.0000 0.0000 0.0000
Nd 0.2221 0.2221 0.3306
Nd 0.4453 0.4453 0.6692
Nd 0.5547 0.5547 0.3308
Nd 0.7779 0.7779 0.6694
Sm 0.1115 0.1115 0.6695
Sm 0.8885 0.8885 0.3305
Ho 0.3329 0.3329 0.0002
Ho 0.6671 0.6671 0.9998
```

---

Entry 2:
# TbNd2SmHo4

An optimized crystal structure of TbNd2SmHo4 (PBE-GGA, Alexandria via LeMat-Bulk). Values from VASP.

Properties
The energy relative to the elements is 0.4187 eV per atom. As for the total energy: -0.155 hartree per atom. As for the space group: C2/c, No. 15.

Quantum ESPRESSO input file:
```
&SYSTEM
  ibrav = 0, nat = 16, ntyp = 4
/
ATOMIC_SPECIES
Tb 158.93 Tb.upf
Nd 144.24 Nd.upf
Sm 150.36 Sm.upf
Ho 164.93 Ho.upf
CELL_PARAMETERS angstrom
6.8319 -6.6432 0.0000
6.8319 6.6432 0.0000
-3.4073 0.0000 5.9123
ATOMIC_POSITIONS crystal
Tb 0.0000 0.0000 0.0000
Tb 0.0000 0.0000 0.5000
Nd 0.0000 0.5000 0.0000
Nd 0.5000 0.0000 0.5000
Nd 0.5000 0.5000 0.0000
Nd 0.5000 0.5000 0.5000
Sm 0.0000 0.5000 0.5000
Sm 0.5000 0.0000 0.0000
Ho 0.2469 0.2476 0.4964
Ho 0.2473 0.7528 0.5006
Ho 0.2472 0.7527 0.9994
Ho 0.2476 0.2469 0.9964
Ho 0.7524 0.7531 0.0036
Ho 0.7528 0.2473 0.0006
Ho 0.7527 0.2472 0.4994
Ho 0.7531 0.7524 0.5036
```

---

Entry 3:
# TbNd2Sm6Ho3

An optimized crystal structure of TbNd2Sm6Ho3 (PBE-GGA, Alexandria via LeMat-Bulk). Values from VASP.

Properties
The energy relative to the elements is 0.0155 eV per atom. As for the total energy: -0.172 hartree per atom. As for the space group: C2/m, No. 12.

Quantum ESPRESSO input file:
```
&SYSTEM
  ibrav = 0, nat = 12, ntyp = 4
/
ATOMIC_SPECIES
Tb 158.93 Tb.upf
Nd 144.24 Nd.upf
Sm 150.36 Sm.upf
Ho 164.93 Ho.upf
CELL_PARAMETERS angstrom
3.1243 -5.4105 0.0000
3.1243 5.4105 0.0000
-2.0801 0.0000 11.7539
ATOMIC_POSITIONS crystal
Tb 0.0000 0.0000 0.0000
Nd 0.3334 0.6666 0.0000
Nd 0.6666 0.3334 0.0000
Sm 0.0844 0.4170 0.2532
Sm 0.2481 0.2481 0.7464
Sm 0.4170 0.0844 0.2532
Sm 0.5830 0.9156 0.7468
Sm 0.7519 0.7519 0.2536
Sm 0.9156 0.5830 0.7468
Ho 0.1665 0.8335 0.5000
Ho 0.5000 0.5000 0.5000
Ho 0.8335 0.1665 0.5000
```

---

Entry 4:
# Tb2NdSmHo6

An optimized crystal structure of Tb2NdSmHo6 (PBE-GGA, Alexandria via LeMat-Bulk). Values from VASP.

Properties
The energy relative to the elements is 0.1243 eV per atom. As for the total energy: -0.165 hartree per atom. As for the space group: C2/c, No. 15.

Quantum ESPRESSO input file:
```
&SYSTEM
  ibrav = 0, nat = 20, ntyp = 4
/
ATOMIC_SPECIES
Tb 158.93 Tb.upf
Nd 144.24 Nd.upf
Sm 150.36 Sm.upf
Ho 164.93 Ho.upf
CELL_PARAMETERS angstrom
4.5263 -7.5070 0.0000
4.5263 7.5070 0.0000
-1.3589 0.0000 9.5273
ATOMIC_POSITIONS crystal
Tb 0.1927 0.2965 0.0440
Tb 0.2965 0.1927 0.5440
Tb 0.7035 0.8073 0.4560
Tb 0.8073 0.7035 0.9560
Nd 0.4068 0.5932 0.7500
Nd 0.5932 0.4068 0.2500
Sm 0.0232 0.9768 0.2500
Sm 0.9768 0.0232 0.7500
Ho 0.0256 0.5725 0.1819
Ho 0.1212 0.7473 0.5569
Ho 0.2527 0.8788 0.9431
Ho 0.2929 0.5062 0.3798
Ho 0.4275 0.9744 0.3181
Ho 0.4938 0.7071 0.1202
Ho 0.5062 0.2929 0.8798
Ho 0.5725 0.0256 0.6819
Ho 0.7071 0.4938 0.6202
Ho 0.7473 0.1212 0.0569
Ho 0.8788 0.2527 0.4431
Ho 0.9744 0.4275 0.8181
```

---

Entry 5:
# TbNd6SmHo2

An optimized crystal structure of TbNd6SmHo2 (PBE-GGA, Alexandria via LeMat-Bulk). Values from VASP.

Properties
The energy relative to the elements is 0.1155 eV per atom. As for the total energy: -0.169 hartree per atom. As for the space group: C2/c, No. 15.

Quantum ESPRESSO input file:
```
&SYSTEM
  ibrav = 0, nat = 20, ntyp = 4
/
ATOMIC_SPECIES
Tb 158.93 Tb.upf
Nd 144.24 Nd.upf
Sm 150.36 Sm.upf
Ho 164.93 Ho.upf
CELL_PARAMETERS angstrom
4.6406 -7.6646 0.0000
4.6406 7.6646 0.0000
-1.3146 0.0000 9.6304
ATOMIC_POSITIONS crystal
Tb 0.0287 0.9713 0.7500
Tb 0.9713 0.0287 0.2500
Nd 0.0134 0.5649 0.6851
Nd 0.1131 0.7599 0.0548
Nd 0.2401 0.8869 0.4452
Nd 0.2941 0.5100 0.8808
Nd 0.4351 0.9866 0.8149
Nd 0.4900 0.7059 0.6192
Nd 0.5100 0.2941 0.3808
Nd 0.5649 0.0134 0.1851
Nd 0.7059 0.4900 0.1192
Nd 0.7599 0.1131 0.5548
Nd 0.8869 0.2401 0.9452
Nd 0.9866 0.4351 0.3149
Sm 0.4085 0.5915 0.2500
Sm 0.5915 0.4085 0.7500
Ho 0.1976 0.2946 0.5463
Ho 0.2946 0.1976 0.0463
Ho 0.7054 0.8024 0.9537
Ho 0.8024 0.7054 0.4537
```

---

Entry 6:
# TbNd5SmHo2

An optimized crystal structure of TbNd5SmHo2 (PBE-GGA, Alexandria via LeMat-Bulk). Values from VASP.

Properties
The energy relative to the elements is 0.1447 eV per atom. As for the total energy: -0.168 hartree per atom. As for the space group: Cmc2_1, No. 36.

Quantum ESPRESSO input file:
```
&SYSTEM
  ibrav = 0, nat = 18, ntyp = 4
/
ATOMIC_SPECIES
Tb 158.93 Tb.upf
Nd 144.24 Nd.upf
Sm 150.36 Sm.upf
Ho 164.93 Ho.upf
CELL_PARAMETERS angstrom
2.8396 -10.2193 0.0000
2.8396 10.2193 0.0000
0.0000 0.0000 10.7308
ATOMIC_POSITIONS crystal
Tb 0.0896 0.9104 0.5000
Tb 0.9104 0.0896 0.0000
Nd 0.0201 0.9799 0.7851
Nd 0.1103 0.8897 0.0672
Nd 0.2034 0.7966 0.7469
Nd 0.2191 0.7809 0.3528
Nd 0.4836 0.5164 0.0637
Nd 0.5164 0.4836 0.5637
Nd 0.7809 0.2191 0.8528
Nd 0.7966 0.2034 0.2469
Nd 0.8897 0.1103 0.5672
Nd 0.9799 0.0201 0.2851
Sm 0.2997 0.7003 0.0524
Sm 0.7003 0.2997 0.5524
Ho 0.3838 0.6162 0.3590
Ho 0.3889 0.6111 0.7803
Ho 0.6111 0.3889 0.2803
Ho 0.6162 0.3838 0.8590
```